No. 1
# Pm6DyHo2, relaxed, DFT GGA-PBE
data_Pm6DyHo2
_chemical_formula_sum 'Pm12 Dy2 Ho4'
_symmetry_space_group_name_H-M 'P 1'
_symmetry_Int_Tables_number 1
_cell_length_a 6.221
_cell_length_b 10.090
_cell_length_c 10.090
_cell_angle_alpha 71.38
_cell_angle_beta 85.14
_cell_angle_gamma 85.14
loop_
_symmetry_equiv_pos_as_xyz
'x,y,z'
loop_
_atom_site_label
_atom_site_type_symbol
_atom_site_fract_x
_atom_site_fract_y
_atom_site_fract_z
_atom_site_occupancy
Ho1 Ho 0.916 0.765 0.568 1
Ho2 Ho 0.416 0.568 0.765 1
Ho3 Ho 0.084 0.235 0.432 1
Ho4 Ho 0.584 0.432 0.235 1
Pm1 Pm 0.680 0.261 0.979 1
Pm2 Pm 0.153 0.355 0.073 1
Pm3 Pm 0.180 0.979 0.261 1
Pm4 Pm 0.514 0.312 0.594 1
Pm5 Pm 0.347 0.927 0.645 1
Pm6 Pm 0.320 0.739 0.021 1
Pm7 Pm 0.653 0.073 0.355 1
Pm8 Pm 0.986 0.406 0.688 1
Pm9 Pm 0.820 0.021 0.739 1
Pm10 Pm 0.847 0.645 0.927 1
Pm11 Pm 0.014 0.594 0.312 1
Pm12 Pm 0.486 0.688 0.406 1
Dy1 Dy 0.250 0.099 0.901 1
Dy2 Dy 0.750 0.901 0.099 1
# Crystal system   monoclinic
# Relative energy among the computed polymorphs   0 meV/atom
# Total magnetization   0.0 Bohr magnetons per cell
# Formation energy   0.085 eV/atom
# E   -4.6111 eV per atom

***

No. 2
# BaInRu2O, relaxed, DFT GGA-PBE
data_BaInRu2O
_chemical_formula_sum 'Ba1 In1 Ru2 O1'
_symmetry_space_group_name_H-M 'P 1'
_symmetry_Int_Tables_number 1
_cell_length_a 4.395
_cell_length_b 4.933
_cell_length_c 4.395
_cell_angle_alpha 90.00
_cell_angle_beta 90.00
_cell_angle_gamma 90.00
loop_
_symmetry_equiv_pos_as_xyz
'x,y,z'
loop_
_atom_site_label
_atom_site_type_symbol
_atom_site_fract_x
_atom_site_fract_y
_atom_site_fract_z
_atom_site_occupancy
Ru1 Ru 0.000 0.000 0.500 1
Ru2 Ru 0.500 0.000 0.000 1
In1 In 0.500 0.500 0.500 1
O1 O 0.000 0.000 0.000 1
Ba1 Ba 0.000 0.500 0.000 1
# Crystal system   tetragonal
# Total magnetization   0.0 Bohr magnetons per cell
# E   -5.4264 eV per atom
# Formation energy without anion corrections   0.2078 eV/atom

***

No. 3
# Pr12Y7In, relaxed, DFT GGA-PBE
data_Pr12Y7In
_chemical_formula_sum 'Pr12 Y7 In1'
_symmetry_space_group_name_H-M 'P 1'
_symmetry_Int_Tables_number 1
_cell_length_a 9.424
_cell_length_b 9.424
_cell_length_c 9.424
_cell_angle_alpha 107.43
_cell_angle_beta 107.43
_cell_angle_gamma 107.43
loop_
_symmetry_equiv_pos_as_xyz
'x,y,z'
loop_
_atom_site_label
_atom_site_type_symbol
_atom_site_fract_x
_atom_site_fract_y
_atom_site_fract_z
_atom_site_occupancy
Pr1 Pr 0.384 0.220 0.680 1
Pr2 Pr 0.293 0.397 0.064 1
Pr3 Pr 0.616 0.780 0.320 1
Pr4 Pr 0.603 0.936 0.707 1
Pr5 Pr 0.680 0.384 0.220 1
Pr6 Pr 0.780 0.320 0.616 1
Pr7 Pr 0.707 0.603 0.936 1
Pr8 Pr 0.320 0.616 0.780 1
Pr9 Pr 0.064 0.293 0.397 1
Pr10 Pr 0.936 0.707 0.603 1
Pr11 Pr 0.220 0.680 0.384 1
Pr12 Pr 0.397 0.064 0.293 1
Y1 Y 0.500 0.500 0.500 1
Y2 Y 0.994 0.103 0.688 1
Y3 Y 0.897 0.312 0.006 1
Y4 Y 0.312 0.006 0.897 1
Y5 Y 0.688 0.994 0.103 1
Y6 Y 0.006 0.897 0.312 1
Y7 Y 0.103 0.688 0.994 1
In1 In 0.000 0.000 0.000 1
# Crystal system   trigonal
# Relative energy among the computed polymorphs   0 meV/atom
# Total magnetization   0.0 Bohr magnetons per cell
# Formation energy   0.081 eV/atom
# E   -5.1857 eV per atom

***

No. 4
# RbTe2Ir2, relaxed, DFT GGA-PBE
data_RbTe2Ir2
_chemical_formula_sum 'Rb1 Te2 Ir2'
_symmetry_space_group_name_H-M 'P 1'
_symmetry_Int_Tables_number 1
_cell_length_a 4.153
_cell_length_b 4.153
_cell_length_c 8.291
_cell_angle_alpha 75.49
_cell_angle_beta 75.49
_cell_angle_gamma 90.00
loop_
_symmetry_equiv_pos_as_xyz
'x,y,z'
loop_
_atom_site_label
_atom_site_type_symbol
_atom_site_fract_x
_atom_site_fract_y
_atom_site_fract_z
_atom_site_occupancy
Ir1 Ir 0.250 0.750 0.500 1
Ir2 Ir 0.750 0.250 0.500 1
Rb1 Rb 0.000 0.000 0.000 1
Te1 Te 0.355 0.355 0.290 1
Te2 Te 0.645 0.645 0.710 1
# Crystal system   tetragonal
# Total magnetization   0.0 Bohr magnetons per cell
# E   -5.1706 eV per atom
# Formation energy without anion corrections   -0.1760 eV/atom

***

No. 5
# Mg2Zn2Bi, relaxed, DFT GGA-PBE
data_Mg2Zn2Bi
_chemical_formula_sum 'Mg2 Zn2 Bi1'
_symmetry_space_group_name_H-M 'P 1'
_symmetry_Int_Tables_number 1
_cell_length_a 3.646
_cell_length_b 3.646
_cell_length_c 8.962
_cell_angle_alpha 78.26
_cell_angle_beta 78.26
_cell_angle_gamma 90.00
loop_
_symmetry_equiv_pos_as_xyz
'x,y,z'
loop_
_atom_site_label
_atom_site_type_symbol
_atom_site_fract_x
_atom_site_fract_y
_atom_site_fract_z
_atom_site_occupancy
Mg1 Mg 0.383 0.383 0.233 1
Mg2 Mg 0.617 0.617 0.767 1
Zn1 Zn 0.250 0.750 0.500 1
Zn2 Zn 0.750 0.250 0.500 1
Bi1 Bi 0.000 0.000 0.000 1
# Crystal system   tetragonal
# Relative energy among the computed polymorphs   63 meV/atom
# Total magnetization   0.0 Bohr magnetons per cell
# Formation energy   0.017 eV/atom
# E   -1.9071 eV per atom

***

No. 6
# InTe2Pt, relaxed, DFT GGA-PBE
data_InTe2Pt
_chemical_formula_sum 'In1 Te2 Pt1'
_symmetry_space_group_name_H-M 'P 1'
_symmetry_Int_Tables_number 1
_cell_length_a 3.828
_cell_length_b 3.828
_cell_length_c 7.414
_cell_angle_alpha 90.00
_cell_angle_beta 90.00
_cell_angle_gamma 90.00
loop_
_symmetry_equiv_pos_as_xyz
'x,y,z'
loop_
_atom_site_label
_atom_site_type_symbol
_atom_site_fract_x
_atom_site_fract_y
_atom_site_fract_z
_atom_site_occupancy
Pt1 Pt 0.500 0.500 0.784 1
Te1 Te 0.000 0.000 0.887 1
Te2 Te 0.500 0.500 0.334 1
In1 In 0.000 0.000 0.495 1
# Crystal system   tetragonal
# Total magnetization   0.0 Bohr magnetons per cell
# E   -3.7832 eV per atom
# Formation energy without anion corrections   -0.0175 eV/atom

***

No. 7
# CrIn2As, relaxed, DFT GGA-PBE
data_CrIn2As
_chemical_formula_sum 'Cr1 In2 As1'
_symmetry_space_group_name_H-M 'P 1'
_symmetry_Int_Tables_number 1
_cell_length_a 3.181
_cell_length_b 3.181
_cell_length_c 8.296
_cell_angle_alpha 90.00
_cell_angle_beta 90.00
_cell_angle_gamma 90.06
loop_
_symmetry_equiv_pos_as_xyz
'x,y,z'
loop_
_atom_site_label
_atom_site_type_symbol
_atom_site_fract_x
_atom_site_fract_y
_atom_site_fract_z
_atom_site_occupancy
In1 In 0.000 0.000 0.519 1
In2 In 0.000 0.000 0.981 1
Cr1 Cr 0.500 0.500 0.750 1
As1 As 0.500 0.500 0.250 1
# Crystal system   tetragonal
# Total magnetization   3.9 Bohr magnetons per cell
# Formation energy   0.371 eV/atom
# E   -4.5666 eV per atom

***

No. 8
# Ho2LuSe, relaxed, DFT GGA-PBE
data_Ho2LuSe
_chemical_formula_sum 'Ho2 Lu1 Se1'
_symmetry_space_group_name_H-M 'P 1'
_symmetry_Int_Tables_number 1
_cell_length_a 3.674
_cell_length_b 3.674
_cell_length_c 10.443
_cell_angle_alpha 79.87
_cell_angle_beta 79.87
_cell_angle_gamma 60.00
loop_
_symmetry_equiv_pos_as_xyz
'x,y,z'
loop_
_atom_site_label
_atom_site_type_symbol
_atom_site_fract_x
_atom_site_fract_y
_atom_site_fract_z
_atom_site_occupancy
Ho1 Ho 0.893 0.893 0.322 1
Ho2 Ho 0.107 0.107 0.678 1
Se1 Se 0.500 0.500 0.500 1
Lu1 Lu 0.000 0.000 0.000 1
# Crystal system   trigonal
# Relative energy among the computed polymorphs   169 meV/atom
# Total magnetization   0.0 Bohr magnetons per cell
# E   -4.7960 eV per atom
# Formation energy without anion corrections   -0.5058 eV/atom

***

No. 9
# NdTlSn2Br8, relaxed, DFT GGA-PBE
data_NdTlSn2Br8
_chemical_formula_sum 'Nd1 Tl1 Sn2 Br8'
_symmetry_space_group_name_H-M 'P 1'
_symmetry_Int_Tables_number 1
_cell_length_a 7.320
_cell_length_b 6.886
_cell_length_c 9.299
_cell_angle_alpha 88.18
_cell_angle_beta 87.40
_cell_angle_gamma 88.74
loop_
_symmetry_equiv_pos_as_xyz
'x,y,z'
loop_
_atom_site_label
_atom_site_type_symbol
_atom_site_fract_x
_atom_site_fract_y
_atom_site_fract_z
_atom_site_occupancy
Tl1 Tl 0.000 0.000 0.500 1
Br1 Br 0.676 0.754 0.022 1
Br2 Br 0.324 0.246 0.978 1
Br3 Br 0.637 0.726 0.470 1
Br4 Br 0.363 0.274 0.530 1
Br5 Br 0.849 0.253 0.223 1
Br6 Br 0.151 0.747 0.777 1
Br7 Br 0.171 0.765 0.223 1
Br8 Br 0.829 0.235 0.777 1
Sn1 Sn 0.491 0.495 0.746 1
Sn2 Sn 0.509 0.505 0.254 1
Nd1 Nd 0.000 0.000 0.000 1
# Crystal system   triclinic
# Total magnetization   0.0 Bohr magnetons per cell
# E   -3.5091 eV per atom
# Formation energy without anion corrections   -1.1322 eV/atom

***

No. 10
# Ca4Te3, relaxed, DFT GGA-PBE
data_Ca4Te3
_chemical_formula_sum 'Ca4 Te3'
_symmetry_space_group_name_H-M 'P 1'
_symmetry_Int_Tables_number 1
_cell_length_a 4.437
_cell_length_b 4.437
_cell_length_c 14.639
_cell_angle_alpha 81.28
_cell_angle_beta 81.28
_cell_angle_gamma 60.00
loop_
_symmetry_equiv_pos_as_xyz
'x,y,z'
loop_
_atom_site_label
_atom_site_type_symbol
_atom_site_fract_x
_atom_site_fract_y
_atom_site_fract_z
_atom_site_occupancy
Ca1 Ca 0.624 0.624 0.129 1
Ca2 Ca 0.130 0.130 0.610 1
Ca3 Ca 0.870 0.870 0.390 1
Ca4 Ca 0.376 0.376 0.871 1
Te1 Te 0.246 0.246 0.261 1
Te2 Te 0.754 0.754 0.739 1
Te3 Te 0.000 0.000 0.000 1
# Crystal system   trigonal
# Relative energy among the computed polymorphs   0 meV/atom
# Total magnetization   0.0 Bohr magnetons per cell
# E   -3.8421 eV per atom
# Formation energy without anion corrections   -1.3520 eV/atom

***

No. 11
# Pm3Pr4Sm, relaxed, DFT GGA-PBE
data_Pm3Pr4Sm
_chemical_formula_sum 'Pm6 Pr8 Sm2'
_symmetry_space_group_name_H-M 'P 1'
_symmetry_Int_Tables_number 1
_cell_length_a 6.415
_cell_length_b 7.417
_cell_length_c 11.946
_cell_angle_alpha 90.00
_cell_angle_beta 90.00
_cell_angle_gamma 90.00
loop_
_symmetry_equiv_pos_as_xyz
'x,y,z'
loop_
_atom_site_label
_atom_site_type_symbol
_atom_site_fract_x
_atom_site_fract_y
_atom_site_fract_z
_atom_site_occupancy
Pm1 Pm 0.649 0.377 0.750 1
Pm2 Pm 0.980 0.377 0.500 1
Pm3 Pm 0.480 0.623 0.000 1
Pm4 Pm 0.149 0.623 0.750 1
Pm5 Pm 0.649 0.377 0.250 1
Pm6 Pm 0.149 0.623 0.250 1
Pr1 Pr 0.647 0.873 0.250 1
Pr2 Pr 0.481 0.127 0.500 1
Pr3 Pr 0.982 0.873 0.500 1
Pr4 Pr 0.981 0.873 0.000 1
Pr5 Pr 0.647 0.873 0.750 1
Pr6 Pr 0.147 0.127 0.250 1
Pr7 Pr 0.147 0.127 0.750 1
Pr8 Pr 0.482 0.127 0.000 1
Sm1 Sm 0.980 0.377 0.000 1
Sm2 Sm 0.480 0.623 0.500 1
# Crystal system   orthorhombic
# Relative energy among the computed polymorphs   0 meV/atom
# Total magnetization   0.0 Bohr magnetons per cell
# Formation energy   0.034 eV/atom
# E   -4.7276 eV per atom

***

No. 12
# MgCrRe, relaxed, DFT GGA-PBE
data_MgCrRe
_chemical_formula_sum 'Mg1 Cr1 Re1'
_symmetry_space_group_name_H-M 'P 1'
_symmetry_Int_Tables_number 1
_cell_length_a 4.161
_cell_length_b 4.161
_cell_length_c 4.161
_cell_angle_alpha 60.00
_cell_angle_beta 60.00
_cell_angle_gamma 60.00
loop_
_symmetry_equiv_pos_as_xyz
'x,y,z'
loop_
_atom_site_label
_atom_site_type_symbol
_atom_site_fract_x
_atom_site_fract_y
_atom_site_fract_z
_atom_site_occupancy
Re1 Re 0.500 0.500 0.500 1
Mg1 Mg 0.000 0.000 0.000 1
Cr1 Cr 0.750 0.750 0.750 1
# Crystal system   cubic
# Relative energy among the computed polymorphs   569 meV/atom
# Total magnetization   1.0 Bohr magnetons per cell
# Formation energy   0.815 eV/atom
# E   -7.0733 eV per atom

***

- The highest total magnetization belongs to which entry?
  CrIn2As

***

Copy entry 8 word for word.
# Ho2LuSe, relaxed, DFT GGA-PBE
data_Ho2LuSe
_chemical_formula_sum 'Ho2 Lu1 Se1'
_symmetry_space_group_name_H-M 'P 1'
_symmetry_Int_Tables_number 1
_cell_length_a 3.674
_cell_length_b 3.674
_cell_length_c 10.443
_cell_angle_alpha 79.87
_cell_angle_beta 79.87
_cell_angle_gamma 60.00
loop_
_symmetry_equiv_pos_as_xyz
'x,y,z'
loop_
_atom_site_label
_atom_site_type_symbol
_atom_site_fract_x
_atom_site_fract_y
_atom_site_fract_z
_atom_site_occupancy
Ho1 Ho 0.893 0.893 0.322 1
Ho2 Ho 0.107 0.107 0.678 1
Se1 Se 0.500 0.500 0.500 1
Lu1 Lu 0.000 0.000 0.000 1
# Crystal system   trigonal
# Relative energy among the computed polymorphs   169 meV/atom
# Total magnetization   0.0 Bohr magnetons per cell
# E   -4.7960 eV per atom
# Formation energy without anion corrections   -0.5058 eV/atom